Computed, not measured: a PBEsol-optimized structure of La2MgTiO6 at the SCAN level of DFT.

Properties
uncorrected energy = -18.07 eV per atom
ρ = 6.14 g cm⁻³
ΔE_f (raw) = -3.609 eV/atom
volume = 12.069 Å³/atom

Cell lengths 5.531, 5.575, 7.828 Å; angles 90.00, 89.89, 90.00 degrees
Element x y z (fractional)
O1 0.204 0.782 0.456
O2 0.280 0.295 0.458
La1 0.492 0.537 0.251
Ti1 0.000 0.500 0.500
O3 0.780 0.205 0.958
O4 0.581 0.980 0.243
O5 0.220 0.795 0.042
O6 0.704 0.718 0.956
La2 0.992 0.963 0.751
Mg1 0.000 0.500 0.000
O7 0.919 0.480 0.257
O8 0.419 0.020 0.757
La3 0.508 0.463 0.749
O9 0.296 0.282 0.044
O10 0.081 0.520 0.743
Mg2 0.500 0.000 0.500
La4 0.008 0.037 0.249
Ti2 0.500 0.000 0.000
O11 0.796 0.218 0.544
O12 0.720 0.705 0.542